(1)
A crystal of Sb2AsIr relaxed with PBEsol, computed with SCAN.

Cell and atoms, written as CIF:
```
data_Sb2AsIr
_cell_length_a 3.8313
_cell_length_b 3.8313
_cell_length_c 20.0772
_cell_angle_alpha 90.00
_cell_angle_beta 90.00
_cell_angle_gamma 120.00
_space_group_name_H-M_alt 'P 1'
_space_group_IT_number 1
loop_
_space_group_symop_operation_xyz
'x,y,z'
loop_
_atom_site_label
_atom_site_type_symbol
_atom_site_fract_x
_atom_site_fract_y
_atom_site_fract_z
Sb1 Sb 0.0000 0.0000 0.2413
Sb2 Sb 0.0000 0.0000 0.7587
Sb3 Sb 0.3333 0.6667 0.4254
Sb4 Sb 0.3333 0.6667 0.9079
Sb5 Sb 0.6667 0.3333 0.0921
Sb6 Sb 0.6667 0.3333 0.5746
As1 As 0.0000 0.0000 0.0000
As2 As 0.3333 0.6667 0.6667
As3 As 0.6667 0.3333 0.3333
Ir1 Ir 0.0000 0.0000 0.5000
Ir2 Ir 0.3333 0.6667 0.1667
Ir3 Ir 0.6667 0.3333 0.8333
```

Properties
Relative energy among the computed polymorphs = 0.0 meV per atom
Uncorrected formation energy = 0.1 eV/f.u.
SG = R-3m

=====

(2)
A crystal of Hf2MoH2 relaxed with PBEsol, computed with SCAN.

Cell and atoms, written as CIF:
```
data_Hf2MoH2
_cell_length_a 3.2811
_cell_length_b 3.2811
_cell_length_c 11.4880
_cell_angle_alpha 90.00
_cell_angle_beta 90.00
_cell_angle_gamma 90.00
_space_group_name_H-M_alt 'P 1'
_space_group_IT_number 1
loop_
_space_group_symop_operation_xyz
'x,y,z'
loop_
_atom_site_label
_atom_site_type_symbol
_atom_site_fract_x
_atom_site_fract_y
_atom_site_fract_z
Hf1 Hf 0.0000 0.0000 0.1401
Hf2 Hf 0.0000 0.0000 0.8599
Hf3 Hf 0.5000 0.5000 0.3599
Hf4 Hf 0.5000 0.5000 0.6401
Mo1 Mo 0.0000 0.0000 0.5000
Mo2 Mo 0.5000 0.5000 0.0000
H1 H 0.0000 0.5000 0.2500
H2 H 0.0000 0.5000 0.7500
H3 H 0.5000 0.0000 0.2500
H4 H 0.5000 0.0000 0.7500
```

Properties
SG = I4/mmm
Total DFT energy (no corrections) = -337.711 eV/cell

=====

(3)
A crystal of Ti2Re2Pb relaxed with PBEsol, computed with SCAN.

Cell and atoms, written as CIF:
```
data_Ti2Re2Pb
_cell_length_a 4.1703
_cell_length_b 4.1703
_cell_length_c 10.7589
_cell_angle_alpha 90.00
_cell_angle_beta 90.00
_cell_angle_gamma 90.00
_space_group_name_H-M_alt 'P 1'
_space_group_IT_number 1
loop_
_space_group_symop_operation_xyz
'x,y,z'
loop_
_atom_site_label
_atom_site_type_symbol
_atom_site_fract_x
_atom_site_fract_y
_atom_site_fract_z
Ti1 Ti 0.0000 0.5000 0.2500
Ti2 Ti 0.0000 0.5000 0.7500
Ti3 Ti 0.5000 0.0000 0.2500
Ti4 Ti 0.5000 0.0000 0.7500
Re1 Re 0.0000 0.0000 0.1126
Re2 Re 0.0000 0.0000 0.8874
Re3 Re 0.5000 0.5000 0.3874
Re4 Re 0.5000 0.5000 0.6126
Pb1 Pb 0.0000 0.0000 0.5000
Pb2 Pb 0.5000 0.5000 0.0000
```

Properties
SG = I4/mmm
Total DFT energy (no corrections) = -495.783 eV/cell

=====

(4)
A crystal of POsSF2 relaxed with PBEsol, computed with SCAN.

Cell and atoms, written as CIF:
```
data_POsSF2
_cell_length_a 3.5498
_cell_length_b 3.5498
_cell_length_c 6.3954
_cell_angle_alpha 90.00
_cell_angle_beta 90.00
_cell_angle_gamma 90.00
_space_group_name_H-M_alt 'P 1'
_space_group_IT_number 1
loop_
_space_group_symop_operation_xyz
'x,y,z'
loop_
_atom_site_label
_atom_site_type_symbol
_atom_site_fract_x
_atom_site_fract_y
_atom_site_fract_z
P1 P 0.0000 0.0000 0.0000
Os1 Os 0.5000 0.5000 0.0000
S1 S 0.0000 0.0000 0.5000
F1 F 0.0000 0.5000 0.5000
F2 F 0.5000 0.0000 0.5000
```

Properties
Uncorrected formation energy = 2.1 eV/f.u.
SG = P4/mmm

=====

(5)
A crystal of Te2Mo3Se2S2 relaxed with PBEsol, computed with SCAN.

Cell and atoms, written as CIF:
```
data_Te2Mo3Se2S2
_cell_length_a 3.2913
_cell_length_b 3.2913
_cell_length_c 20.6609
_cell_angle_alpha 90.00
_cell_angle_beta 90.00
_cell_angle_gamma 120.00
_space_group_name_H-M_alt 'P 1'
_space_group_IT_number 1
loop_
_space_group_symop_operation_xyz
'x,y,z'
loop_
_atom_site_label
_atom_site_type_symbol
_atom_site_fract_x
_atom_site_fract_y
_atom_site_fract_z
Te1 Te 0.0000 0.0000 0.0000
Te2 Te 0.0000 0.0000 0.1830
Mo1 Mo 0.0000 0.0000 0.4111
Mo2 Mo 0.3333 0.6667 0.0914
Mo3 Mo 0.3333 0.6667 0.7157
Se1 Se 0.0000 0.0000 0.6355
Se2 Se 0.0000 0.0000 0.7958
S1 S 0.3333 0.6667 0.3381
S2 S 0.3333 0.6667 0.4841
```

Properties
Uncorrected formation energy = -5.3 eV/f.u.
SG = P3m1

=====

(6)
A crystal of Mn3Sb2I4O4 relaxed with PBEsol, computed with SCAN.

Cell and atoms, written as CIF:
```
data_Mn3Sb2I4O4
_cell_length_a 7.3961
_cell_length_b 7.3961
_cell_length_c 14.9746
_cell_angle_alpha 90.00
_cell_angle_beta 90.00
_cell_angle_gamma 128.46
_space_group_name_H-M_alt 'P 1'
_space_group_IT_number 1
loop_
_space_group_symop_operation_xyz
'x,y,z'
loop_
_atom_site_label
_atom_site_type_symbol
_atom_site_fract_x
_atom_site_fract_y
_atom_site_fract_z
Mn1 Mn 0.0000 0.0000 0.0000
Mn2 Mn 0.2393 0.2607 0.2500
Mn3 Mn 0.2607 0.2393 0.7500
Mn4 Mn 0.5000 0.5000 0.5000
Mn5 Mn 0.7393 0.7607 0.2500
Mn6 Mn 0.7607 0.7393 0.7500
Sb1 Sb 0.1044 0.8956 0.5567
Sb2 Sb 0.3956 0.6044 0.0567
Sb3 Sb 0.6044 0.3956 0.9433
Sb4 Sb 0.8956 0.1044 0.4433
I1 I 0.1336 0.8664 0.1595
I2 I 0.1683 0.8317 0.8785
I3 I 0.3317 0.6683 0.3785
I4 I 0.3664 0.6336 0.6595
I5 I 0.6336 0.3664 0.3405
I6 I 0.6683 0.3317 0.6215
I7 I 0.8317 0.1683 0.1215
I8 I 0.8664 0.1336 0.8405
O1 O 0.0378 0.9622 0.6752
O2 O 0.1945 0.1945 0.5000
O3 O 0.3055 0.3055 0.0000
O4 O 0.4622 0.5378 0.1752
O5 O 0.5378 0.4622 0.8248
O6 O 0.6945 0.6945 0.0000
O7 O 0.8055 0.8055 0.5000
O8 O 0.9622 0.0378 0.3248
```

Properties
Uncorrected formation energy = -16.3 eV/f.u.
SG = Cmce

=====

(7)
A crystal of YCrSCl2 relaxed with PBEsol, computed with SCAN.

Cell and atoms, written as CIF:
```
data_YCrSCl2
_cell_length_a 4.5552
_cell_length_b 4.5552
_cell_length_c 4.7807
_cell_angle_alpha 90.00
_cell_angle_beta 90.00
_cell_angle_gamma 90.00
_space_group_name_H-M_alt 'P 1'
_space_group_IT_number 1
loop_
_space_group_symop_operation_xyz
'x,y,z'
loop_
_atom_site_label
_atom_site_type_symbol
_atom_site_fract_x
_atom_site_fract_y
_atom_site_fract_z
Y1 Y 0.0000 0.0000 0.0000
Cr1 Cr 0.5000 0.5000 0.5000
S1 S 0.5000 0.5000 0.0000
Cl1 Cl 0.0000 0.5000 0.5000
Cl2 Cl 0.5000 0.0000 0.5000
```

Properties
Uncorrected formation energy = -5.5 eV/f.u.
SG = P4/mmm

=====

(8)
A crystal of BaCaCo2 relaxed with PBEsol, computed with SCAN.

Cell and atoms, written as CIF:
```
data_BaCaCo2
_cell_length_a 4.9952
_cell_length_b 4.9952
_cell_length_c 3.5116
_cell_angle_alpha 90.00
_cell_angle_beta 90.00
_cell_angle_gamma 90.00
_space_group_name_H-M_alt 'P 1'
_space_group_IT_number 1
loop_
_space_group_symop_operation_xyz
'x,y,z'
loop_
_atom_site_label
_atom_site_type_symbol
_atom_site_fract_x
_atom_site_fract_y
_atom_site_fract_z
Ba1 Ba 0.0000 0.0000 0.0000
Ca1 Ca 0.5000 0.5000 0.0000
Co1 Co 0.0000 0.5000 0.5000
Co2 Co 0.5000 0.0000 0.5000
```

Properties
SG = P4/mmm
Total DFT energy (no corrections) = -81.407 eV/cell

=====

(9)
A crystal of MgTl relaxed with PBEsol, computed with SCAN.

Cell and atoms, written as CIF:
```
data_MgTl
_cell_length_a 10.2430
_cell_length_b 8.9958
_cell_length_c 6.2976
_cell_angle_alpha 90.00
_cell_angle_beta 90.00
_cell_angle_gamma 90.00
_space_group_name_H-M_alt 'P 1'
_space_group_IT_number 1
loop_
_space_group_symop_operation_xyz
'x,y,z'
loop_
_atom_site_label
_atom_site_type_symbol
_atom_site_fract_x
_atom_site_fract_y
_atom_site_fract_z
Mg1 Mg 0.1172 0.2500 0.0000
Mg2 Mg 0.1172 0.2500 0.5000
Mg3 Mg 0.1508 0.6346 0.2500
Mg4 Mg 0.1508 0.8654 0.7500
Mg5 Mg 0.3728 0.0547 0.2500
Mg6 Mg 0.3728 0.4453 0.7500
Mg7 Mg 0.6272 0.5547 0.2500
Mg8 Mg 0.6272 0.9453 0.7500
Mg9 Mg 0.8492 0.1346 0.2500
Mg10 Mg 0.8492 0.3654 0.7500
Mg11 Mg 0.8828 0.7500 0.0000
Mg12 Mg 0.8828 0.7500 0.5000
Tl1 Tl 0.0877 0.5462 0.7500
Tl2 Tl 0.0877 0.9538 0.2500
Tl3 Tl 0.3496 0.1078 0.7500
Tl4 Tl 0.3496 0.3922 0.2500
Tl5 Tl 0.3926 0.7500 0.0000
Tl6 Tl 0.3926 0.7500 0.5000
Tl7 Tl 0.6074 0.2500 0.0000
Tl8 Tl 0.6074 0.2500 0.5000
Tl9 Tl 0.6504 0.6078 0.7500
Tl10 Tl 0.6504 0.8922 0.2500
Tl11 Tl 0.9123 0.0462 0.7500
Tl12 Tl 0.9123 0.4538 0.2500
```

Properties
SG = Pbcm
Total DFT energy (no corrections) = -930.367 eV/cell

=====

(10)
A crystal of AgSb2TeOs relaxed with PBEsol, computed with SCAN.

Cell and atoms, written as CIF:
```
data_AgSb2TeOs
_cell_length_a 4.9527
_cell_length_b 4.9527
_cell_length_c 5.6168
_cell_angle_alpha 90.00
_cell_angle_beta 90.00
_cell_angle_gamma 90.00
_space_group_name_H-M_alt 'P 1'
_space_group_IT_number 1
loop_
_space_group_symop_operation_xyz
'x,y,z'
loop_
_atom_site_label
_atom_site_type_symbol
_atom_site_fract_x
_atom_site_fract_y
_atom_site_fract_z
Ag1 Ag 0.0000 0.0000 0.0000
Sb1 Sb 0.0000 0.5000 0.5000
Sb2 Sb 0.5000 0.0000 0.5000
Te1 Te 0.5000 0.5000 0.0000
Os1 Os 0.5000 0.5000 0.5000
```

Properties
Relative energy among the computed polymorphs = 0.0 meV per atom
Uncorrected formation energy = 3.7 eV/f.u.
SG = P4/mmm

=====

(11)
A crystal of HfMgAgCl2 relaxed with PBEsol, computed with SCAN.

Cell and atoms, written as CIF:
```
data_HfMgAgCl2
_cell_length_a 4.8003
_cell_length_b 4.8003
_cell_length_c 5.5773
_cell_angle_alpha 90.00
_cell_angle_beta 90.00
_cell_angle_gamma 90.00
_space_group_name_H-M_alt 'P 1'
_space_group_IT_number 1
loop_
_space_group_symop_operation_xyz
'x,y,z'
loop_
_atom_site_label
_atom_site_type_symbol
_atom_site_fract_x
_atom_site_fract_y
_atom_site_fract_z
Hf1 Hf 0.0000 0.0000 0.0000
Mg1 Mg 0.5000 0.5000 0.5000
Ag1 Ag 0.0000 0.0000 0.5000
Cl1 Cl 0.0000 0.5000 0.0000
Cl2 Cl 0.5000 0.0000 0.0000
```

Properties
Uncorrected formation energy = -1.9 eV/f.u.
SG = P4/mmm

=====

(12)
A crystal of AsSe3 relaxed with PBEsol, computed with SCAN.

Cell and atoms, written as CIF:
```
data_AsSe3
_cell_length_a 5.0055
_cell_length_b 5.0055
_cell_length_c 5.0055
_cell_angle_alpha 90.00
_cell_angle_beta 90.00
_cell_angle_gamma 90.00
_space_group_name_H-M_alt 'P 1'
_space_group_IT_number 1
loop_
_space_group_symop_operation_xyz
'x,y,z'
loop_
_atom_site_label
_atom_site_type_symbol
_atom_site_fract_x
_atom_site_fract_y
_atom_site_fract_z
As1 As 0.0000 0.0000 0.0000
Se1 Se 0.0000 0.0000 0.5000
Se2 Se 0.0000 0.5000 0.0000
Se3 Se 0.5000 0.0000 0.0000
```

Properties
Relative energy among the computed polymorphs = 354.3 meV per atom
Uncorrected formation energy = 2.8 eV/f.u.
SG = Pm-3m